Computed, not measured: a relaxed structure of TlBRu3 at the PBE-GGA level of DFT.

a b c (Å): 4.171 4.171 4.171
angles (deg): 90.00 90.00 90.00
Atoms (fractional coordinates):
Ru  0.000  0.000  0.500
Ru  0.500  0.000  0.000
B  0.000  0.000  0.000
Ru  0.000  0.500  0.000
Tl  0.500  0.500  0.500

Output
Uncorrected energy in eV for the cell shown: -35.64
Formation energy from the elements in eV/atom: 0.2456
Space group: Pm-3m, No. 221

***

Computed, not measured: a relaxed structure of TlBRu2 at the PBE-GGA level of DFT.

a b c (Å): 4.330 4.330 4.330
angles (deg): 60.00 60.00 60.00
Site moments in Bohr magnetons follow the coordinates.
Atoms (fractional coordinates):
Ru  0.250  0.250  0.250  0.25
Tl  0.500  0.500  0.500  0.00
Ru  0.750  0.750  0.750  0.25
B  0.000  0.000  0.000  -0.02

Output
Uncorrected energy in eV for the cell shown: -23.68
Formation energy from the elements in eV/atom: 0.9800
Space group: Fm-3m, No. 225

***

Computed, not measured: a relaxed structure of TlBRu3 at the PBE-GGA level of DFT.

a b c (Å): 5.005 5.005 5.005
angles (deg): 90.00 90.00 90.00
Site moments in Bohr magnetons follow the coordinates.
Atoms (fractional coordinates):
Ru  0.000  0.500  0.000  1.88
B  0.500  0.500  0.500  -0.08
Ru  0.000  0.000  0.500  2.21
Ru  0.500  0.000  0.000  1.56
Tl  0.000  0.000  0.000  -0.06

Output
Uncorrected energy in eV for the cell shown: -20.97
Formation energy from the elements in eV/atom: 3.1799
Space group: Pm-3m, No. 221